A plane-wave DFT calculation with PBE with a Hubbard U was carried out for LaNiNF2 after structural relaxation.

Values from the calculation:
The value obtained for the electronic total energy is -28.500 eV per formula unit. Its calculated volume is 65 Å³/f.u.

a = 3.896 Å, b = 3.896 Å, c = 4.300 Å
α = 90.00°, β = 90.00°, γ = 90.00°
Element x y z (fractional)
La 0.000 0.000 0.000
Ni 0.500 0.500 0.500
N 0.500 0.500 0.000
F 0.000 0.500 0.500
F 0.500 0.000 0.500